# 1
Computed, not measured: crystalline SrTcRh2 at its relaxed geometry at the PBE level of DFT.

a b c (Å): 3.257 3.257 7.206
angles (deg): 90.00 90.00 90.00
Fractional positions:
Sr: 0.000 0.000 0.000
Tc: 0.500 0.500 0.339
Rh: 0.000 0.000 0.495
Rh: 0.500 0.500 0.709

**Calculated volume**: 19.1 Å³ per atom
**Energy of formation**: 0.38 eV per atom
**M_tot**: 0.000 μB/cell
**Uncorrected energy**: -6.31 eV per atom
**Distance to the lowest polymorph of the same formula**: 0.939 eV per formula unit


# 2
Computed, not measured: crystalline KNaIn2Ge at its relaxed geometry at the PBE level of DFT.

a b c (Å): 5.565 5.565 5.615
angles (deg): 90.00 90.00 90.00
Fractional positions:
K: 0.000 0.000 0.000
Na: 0.500 0.500 0.000
In: 0.000 0.500 0.500
In: 0.500 0.000 0.500
Ge: 0.500 0.500 0.500

**Calculated volume**: 34.8 Å³ per atom
**Energy of formation**: 0.05 eV per atom
**M_tot**: 0.000 μB/cell
**Uncorrected energy**: -2.45 eV per atom